(1)
{
  "formula": "V3PBr",
  "functional": "PBE-GGA",
  "state": "relaxed",
  "e_form_raw_ev_per_fu": 5.90,
  "spacegroup": "Pm-3m",
  "lattice_angstrom": [[4.438, 0.000, 0.000], [0.000, 4.438, 0.000], [0.000, 0.000, 4.438]],
  "species": ["P", "Br", "V", "V", "V"],
  "frac_coords": [[0.500, 0.500, 0.500], [0.000, 0.000, 0.000], [0.000, 0.500, 0.000], [0.000, 0.000, 0.500], [0.500, 0.000, 0.000]]
}


(2)
{
  "formula": "V2PBr",
  "functional": "PBE-GGA",
  "state": "relaxed",
  "e_form_raw_ev_per_fu": 0.31,
  "e_above_lowest_polymorph_ev_per_atom": 0.020,
  "spacegroup": "Fm-3m",
  "lattice_angstrom": [[3.879, 1.861, 0.555], [0.697, 2.587, 3.412], [2.593, -1.310, 3.222]],
  "species": ["P", "Br", "V", "V"],
  "frac_coords": [[0.000, 0.000, 0.000], [0.500, 0.500, 0.500], [0.250, 0.250, 0.250], [0.750, 0.750, 0.750]]
}


(3)
{
  "formula": "PWBr2",
  "functional": "PBE-GGA",
  "state": "relaxed",
  "e_form_raw_ev_per_fu": 0.57,
  "e_above_lowest_polymorph_ev_per_atom": 0.229,
  "spacegroup": "R3m",
  "lattice_angstrom": [[-7.513, -0.405, -5.375], [-7.180, -3.634, -4.553], [-8.773, -1.535, -2.486]],
  "species": ["Br", "Br", "P", "W"],
  "frac_coords": [[0.025, 0.025, 0.025], [0.232, 0.232, 0.232], [0.481, 0.481, 0.481], [0.762, 0.762, 0.762]]
}


(4)
{
  "formula": "PWBr2",
  "functional": "PBE-GGA",
  "state": "relaxed",
  "e_form_raw_ev_per_fu": -0.35,
  "e_above_lowest_polymorph_ev_per_atom": 0.000,
  "spacegroup": "Cm",
  "lattice_angstrom": [[4.573, 0.015, -0.005], [3.432, 3.022, -0.005], [2.183, 0.828, 7.636]],
  "species": ["Br", "Br", "P", "W"],
  "frac_coords": [[0.100, 0.100, 0.898], [0.248, 0.248, 0.352], [0.431, 0.431, 0.625], [0.722, 0.722, 0.625]]
}


(5)
{
  "formula": "PWBr2",
  "functional": "PBE-GGA",
  "state": "relaxed",
  "e_form_raw_ev_per_fu": 5.66,
  "e_above_lowest_polymorph_ev_per_atom": 1.501,
  "spacegroup": "P4/mmm",
  "lattice_angstrom": [[4.759, 0.000, 0.000], [0.000, 4.759, 0.000], [0.000, 0.000, 3.214]],
  "species": ["Br", "Br", "P", "W"],
  "frac_coords": [[0.000, 0.000, 0.000], [0.500, 0.500, 0.000], [0.500, 0.000, 0.500], [0.000, 0.500, 0.500]]
}


(6)
{
  "formula": "P2W2Br",
  "functional": "PBE-GGA",
  "state": "relaxed",
  "e_form_raw_ev_per_fu": 1.34,
  "e_above_lowest_polymorph_ev_per_atom": 0.000,
  "spacegroup": "I4/mmm",
  "lattice_angstrom": [[-3.181, 2.585, 1.311], [-2.845, -2.411, -2.148], [-3.611, -2.554, 3.337]],
  "species": ["P", "P", "Br", "W", "W"],
  "frac_coords": [[0.375, 0.375, 0.249], [0.625, 0.625, 0.751], [0.000, 0.000, 0.000], [0.750, 0.250, 0.500], [0.250, 0.750, 0.500]]
}


(7)
{
  "formula": "PWBr2",
  "functional": "PBE-GGA",
  "state": "relaxed",
  "e_form_raw_ev_per_fu": 3.63,
  "e_above_lowest_polymorph_ev_per_atom": 0.993,
  "spacegroup": "Cmmm",
  "lattice_angstrom": [[-2.684, 1.732, -0.665], [0.392, -3.190, -0.560], [-4.200, -2.395, 10.714]],
  "species": ["Br", "Br", "P", "W"],
  "frac_coords": [[0.000, 0.000, 0.928], [0.000, 0.000, 0.572], [0.500, 0.500, 0.250], [0.500, 0.500, 0.750]]
}


(8)
{
  "formula": "PW2Br",
  "functional": "PBE-GGA",
  "state": "relaxed",
  "e_form_raw_ev_per_fu": 2.96,
  "e_above_lowest_polymorph_ev_per_atom": 0.641,
  "spacegroup": "Cmmm",
  "lattice_angstrom": [[-0.664, -2.815, -1.096], [1.707, 1.676, -1.960], [6.581, -2.840, 3.305]],
  "species": ["Br", "P", "W", "W"],
  "frac_coords": [[0.500, 0.500, 0.250], [0.500, 0.500, 0.750], [0.000, 0.000, 0.947], [0.000, 0.000, 0.553]]
}


no.,V (Å³/cell)
1,87
2,58
3,88
4,105
5,73
6,86
7,102
8,70